(1)
K3GaPd: relaxed, GGA-PBE.

The total energy is -8.615 eV per cell. The total magnetic moment comes out at 0.000 μB per cell.

It has space group Pm-3m (No. 221), with a = 6.272 Å, b = 6.272 Å, c = 6.272 Å, α = 90.00°, β = 90.00° and γ = 90.00°. The distinct sites, in fractional coordinates, are K at (0.000, 0.000, 0.500), Ga at (0.000, 0.000, 0.000) and Pd at (0.500, 0.500, 0.500).

---

(2)
LaTbPr2Bi4: relaxed, GGA-PBE.

The total energy is -42.301 eV per cell. The total magnetic moment comes out at 0.000 μB per cell.

It has space group P2/m (No. 10), with a = 8.001 Å, b = 4.627 Å, c = 8.008 Å, α = 90.00°, β = 109.46° and γ = 90.00°. The distinct sites, in fractional coordinates, are La at (0.000, 0.000, 0.000), Tb at (0.500, 0.500, 0.000), Pr at (0.000, 0.500, 0.500), Pr at (0.500, 0.000, 0.500), Bi at (0.255, 0.500, 0.248) and Bi at (0.257, 0.000, 0.756).

---

(3)
CaCu6Pd6: relaxed, GGA-PBE.

The total energy is -122.037 eV per cell. The total magnetic moment comes out at 0.000 μB per cell.

It has space group Immm (No. 71), with a = 4.988 Å, b = 8.679 Å, c = 8.888 Å, α = 90.00°, β = 90.00° and γ = 90.00°. The distinct sites, in fractional coordinates, are Ca at (0.000, 0.000, 0.000), Cu at (0.000, 0.500, 0.265), Cu at (0.250, 0.250, 0.250), Pd at (0.000, 0.000, 0.349), Pd at (0.000, 0.306, 0.500) and Pd at (0.000, 0.345, 0.000).

---

(4)
CaCu2Sb: relaxed, GGA-PBE.

The total energy is -29.161 eV per cell. The total magnetic moment comes out at 0.000 μB per cell. The calculation puts the energy relative to the elements, uncorrected at -0.066 eV per atom.

It has space group I-4m2 (No. 119), with a = 4.642 Å, b = 4.642 Å, c = 7.340 Å, α = 90.00°, β = 90.00° and γ = 90.00°. The distinct sites, in fractional coordinates, are Ca at (0.000, 0.000, 0.000), Cu at (0.000, 0.000, 0.500), Cu at (0.000, 0.500, 0.750) and Sb at (0.000, 0.500, 0.250).

---

(5)
Tb2MnZn3Cu12: relaxed, GGA-PBE.

The total energy is -205.828 eV per cell. The total magnetic moment comes out at 10.135 μB per cell.

It has space group R-3m (No. 166, hexagonal axes), with a = 6.1492 Å, b = 6.1492 Å, c = 26.8939 Å, α = 90.00°, β = 90.00° and γ = 120.00°. The distinct sites, in fractional coordinates, are Tb at (0.0000, 0.0000, 0.1473), Mn at (0.0000, 0.0000, 0.5000), Zn at (0.0000, 0.5000, 0.0000), Cu at (0.0275, 0.5138, 0.0984) and Cu at (0.0747, 0.5373, 0.6177).

---

(6)
Tb2Pm5Sm12: relaxed, GGA-PBE.

The total energy is -174.180 eV per cell. The total magnetic moment comes out at 0.000 μB per cell.

It has space group C2/m (No. 12), with a = 22.354 Å, b = 7.140 Å, c = 8.769 Å, α = 90.00°, β = 109.95° and γ = 90.00°. The distinct sites, in fractional coordinates, are Tb at (0.000, 0.244, 0.000), Pm at (0.000, 0.500, 0.500), Pm at (0.150, 0.000, 0.095), Pm at (0.249, 0.500, 0.491), Sm at (0.048, 0.000, 0.694), Sm at (0.106, 0.243, 0.384), Sm at (0.145, 0.500, 0.067) and Sm at (0.200, 0.247, 0.793).

---

(7)
Ac3Cd3In8: relaxed, GGA-PBE.

The total energy is -83.298 eV per cell. The total magnetic moment comes out at 0.000 μB per cell.

It has space group Immm (No. 71), with a = 4.889 Å, b = 11.337 Å, c = 14.330 Å, α = 90.00°, β = 90.00° and γ = 90.00°. The distinct sites, in fractional coordinates, are Ac at (0.000, 0.000, 0.000), Ac at (0.000, 0.000, 0.310), Cd at (0.000, 0.194, 0.500), Cd at (0.000, 0.500, 0.000), In at (0.000, 0.281, 0.141) and In at (0.000, 0.370, 0.344).

---

(8)
Fe2CoC: relaxed, GGA-PBE.

The total energy is -127.820 eV per cell. The total magnetic moment comes out at 19.836 μB per cell.

It has space group I-42d (No. 122), with a = 6.422 Å, b = 6.422 Å, c = 4.033 Å, α = 90.00°, β = 90.00° and γ = 90.00°. The distinct sites, in fractional coordinates, are Fe at (0.139, 0.250, 0.125), Co at (0.000, 0.000, 0.500) and C at (0.000, 0.000, 0.000).

---

(9)
Tb2CeAu: relaxed, GGA-PBE.

The total energy is -19.222 eV per cell. The total magnetic moment comes out at 1.920 μB per cell.

It has space group P4/mmm (No. 123), with a = 4.908 Å, b = 4.908 Å, c = 4.394 Å, α = 90.00°, β = 90.00° and γ = 90.00°. The distinct sites, in fractional coordinates, are Tb at (0.000, 0.500, 0.000), Ce at (0.000, 0.000, 0.500) and Au at (0.500, 0.500, 0.500).

---

(10)
SrLiSiAg: relaxed, GGA-PBE.

The total energy is -50.035 eV per cell. The total magnetic moment comes out at 0.000 μB per cell. The calculation puts the energy relative to the elements, uncorrected at -0.160 eV per atom.

It has space group F-43m (No. 216), with a = 6.916 Å, b = 6.916 Å, c = 6.916 Å, α = 90.00°, β = 90.00° and γ = 90.00°. The distinct sites, in fractional coordinates, are Sr at (0.000, 0.000, 0.000), Li at (0.250, 0.250, 0.750), Si at (0.000, 0.000, 0.500) and Ag at (0.250, 0.250, 0.250).

---

(11)
ScPb: relaxed, GGA-PBE.

The total energy is -129.363 eV per cell. The total magnetic moment comes out at 0.001 μB per cell.

It has space group Pbcm (No. 57), with a = 10.154 Å, b = 9.226 Å, c = 6.326 Å, α = 90.00°, β = 90.00° and γ = 90.00°. The distinct sites, in fractional coordinates, are Sc at (0.103, 0.250, 0.000), Sc at (0.173, 0.635, 0.250), Sc at (0.389, 0.033, 0.250), Pb at (0.089, 0.547, 0.750), Pb at (0.333, 0.130, 0.750) and Pb at (0.410, 0.750, 0.000).

---

(12)
Rb2Tl5Hg12: relaxed, GGA-PBE.

The total energy is -56.814 eV per cell. The total magnetic moment comes out at 0.000 μB per cell.

It has space group R-3m (No. 166, hexagonal axes), with a = 10.8411 Å, b = 10.8411 Å, c = 17.5385 Å, α = 90.00°, β = 90.00° and γ = 120.00°. The distinct sites, in fractional coordinates, are Rb at (0.0000, 0.0000, 0.1711), Tl at (0.0000, 0.0000, 0.4033), Tl at (0.0000, 0.5000, 0.0000), Hg at (0.0000, 0.2960, 0.5000) and Hg at (0.0274, 0.5137, 0.6346).

---

(13)
Zn2CuPt2: relaxed, GGA-PBE.

The total energy is -40.415 eV per cell. The total magnetic moment comes out at 0.000 μB per cell.

It has space group P4/mbm (No. 127), with a = 7.282 Å, b = 7.282 Å, c = 2.893 Å, α = 90.00°, β = 90.00° and γ = 90.00°. The distinct sites, in fractional coordinates, are Zn at (0.155, 0.345, 0.000), Cu at (0.000, 0.000, 0.500) and Pt at (0.144, 0.644, 0.500).

---

(14)
Pm7HoEr4: relaxed, GGA-PBE.

The total energy is -56.050 eV per cell. The total magnetic moment comes out at 0.000 μB per cell.

It has space group P-1 (No. 2), with a = 6.279 Å, b = 7.238 Å, c = 8.924 Å, α = 89.98°, β = 76.46° and γ = 89.98°. The distinct sites, in fractional coordinates, are Pm at (0.000, 0.000, 0.000), Pm at (0.221, 0.500, 0.335), Pm at (0.280, 0.751, 0.665), Pm at (0.499, 0.248, 0.999), Ho at (0.000, 0.500, 0.000), Er at (0.220, 0.000, 0.336) and Er at (0.278, 0.248, 0.667).

---

(15)
La2Cd3Hg2: relaxed, GGA-PBE.

The total energy is -31.836 eV per cell. The total magnetic moment comes out at 0.000 μB per cell.

It has space group C2/m (No. 12), with a = 10.708 Å, b = 4.967 Å, c = 7.441 Å, α = 90.00°, β = 108.58° and γ = 90.00°. The distinct sites, in fractional coordinates, are La at (0.141, 0.000, 0.265), Cd at (0.000, 0.500, 0.500), Cd at (0.107, 0.500, 0.923) and Hg at (0.164, 0.000, 0.714).

---

(16)
MgCr2Pt: relaxed, GGA-PBE.

The total energy is -27.535 eV per cell. The total magnetic moment comes out at 0.017 μB per cell.

It has space group Pmmm (No. 47), with a = 3.735 Å, b = 3.788 Å, c = 4.277 Å, α = 90.00°, β = 90.00° and γ = 90.00°. The distinct sites, in fractional coordinates, are Mg at (0.000, 0.000, 0.000), Cr at (0.000, 0.500, 0.500), Cr at (0.500, 0.000, 0.500) and Pt at (0.500, 0.500, 0.000).

---

(17)
SiHgAsSe2: relaxed, GGA-PBE.

The total energy is -11.911 eV per cell. The total magnetic moment comes out at 0.000 μB per cell. The calculation puts the energy relative to the elements, uncorrected at 1.086 eV per atom.

It has space group P4/mmm (No. 123), with a = 5.210 Å, b = 5.210 Å, c = 5.161 Å, α = 90.00°, β = 90.00° and γ = 90.00°. The distinct sites, in fractional coordinates, are Si at (0.000, 0.000, 0.000), Hg at (0.500, 0.500, 0.500), As at (0.500, 0.500, 0.000) and Se at (0.000, 0.500, 0.500).

---

(18)
LiDyMgRh: relaxed, GGA-PBE.

The total energy is -68.733 eV per cell. The total magnetic moment comes out at 0.000 μB per cell.

It has space group F-43m (No. 216), with a = 6.723 Å, b = 6.723 Å, c = 6.723 Å, α = 90.00°, β = 90.00° and γ = 90.00°. The distinct sites, in fractional coordinates, are Li at (0.000, 0.000, 0.000), Dy at (0.250, 0.250, 0.750), Mg at (0.250, 0.250, 0.250) and Rh at (0.000, 0.000, 0.500).

---

(19)
Dy5InRh4: relaxed, GGA-PBE.

The total energy is -63.066 eV per cell. The total magnetic moment comes out at 0.000 μB per cell.

It has space group P4/mmm (No. 123), with a = 3.477 Å, b = 3.477 Å, c = 17.704 Å, α = 90.00°, β = 90.00° and γ = 90.00°. The distinct sites, in fractional coordinates, are Dy at (0.000, 0.000, 0.000), Dy at (0.000, 0.000, 0.190), Dy at (0.000, 0.000, 0.379), In at (0.500, 0.500, 0.500), Rh at (0.500, 0.500, 0.095) and Rh at (0.500, 0.500, 0.286).

---

(20)
BeAlBiOs2: relaxed, GGA-PBE.

The total energy is -30.480 eV per cell. The total magnetic moment comes out at 0.000 μB per cell.

It has space group P4/mmm (No. 123), with a = 4.388 Å, b = 4.388 Å, c = 4.143 Å, α = 90.00°, β = 90.00° and γ = 90.00°. The distinct sites, in fractional coordinates, are Be at (0.000, 0.000, 0.000), Al at (0.000, 0.000, 0.500), Bi at (0.500, 0.500, 0.500) and Os at (0.000, 0.500, 0.000).

---

(21)
KFeCo2: relaxed, GGA-PBE.

The total energy is -21.232 eV per cell. The total magnetic moment comes out at 5.660 μB per cell.

It has space group P4/mmm (No. 123), with a = 2.960 Å, b = 2.960 Å, c = 7.809 Å, α = 90.00°, β = 90.00° and γ = 90.00°. The distinct sites, in fractional coordinates, are K at (0.000, 0.000, 0.000), Fe at (0.000, 0.000, 0.500) and Co at (0.500, 0.500, 0.342).

---

(22)
PrHgBiPb: relaxed, GGA-PBE.

The total energy is -55.918 eV per cell. The total magnetic moment comes out at 0.000 μB per cell.

It has space group F-43m (No. 216), with a = 7.859 Å, b = 7.859 Å, c = 7.859 Å, α = 90.00°, β = 90.00° and γ = 90.00°. The distinct sites, in fractional coordinates, are Pr at (0.000, 0.000, 0.000), Hg at (0.250, 0.250, 0.750), Bi at (0.250, 0.250, 0.250) and Pb at (0.000, 0.000, 0.500).

---

(23)
KAg2Os: relaxed, GGA-PBE.

The total energy is -44.787 eV per cell. The total magnetic moment comes out at 0.001 μB per cell.

It has space group R-3m (No. 166, hexagonal axes), with a = 2.8742 Å, b = 2.8742 Å, c = 31.8833 Å, α = 90.00°, β = 90.00° and γ = 120.00°. The distinct sites, in fractional coordinates, are K at (0.0000, 0.0000, 0.0000), Ag at (0.0000, 0.0000, 0.2404) and Os at (0.0000, 0.0000, 0.5000).